Entry 1:
A plane-wave DFT calculation with PBE-GGA was carried out for an optimized crystal structure of BaSiCl2.

Lattice parameters (Å, degrees): 5.7424 5.7424 5.7424 51.61 51.61 51.61
With the nearest neighbours (Å) after each atom.
Fractional positions:
Ba 0.0000 0.0000 0.0000  8 Cl 3.27-3.34
Si 0.5000 0.5000 0.5000  6 Cl 2.99
Cl 0.2198 0.2198 0.2198  3 Si 2.99, 4 Ba 3.27-3.34, 3 Cl 3.29
Cl 0.7802 0.7802 0.7802  3 Si 2.99, 4 Ba 3.27-3.34, 3 Cl 3.29

Summary:
E above lowest polymorph	0.147	eV per atom
space group	No. 166
energy relative to the elements, uncorrected	-898	meV/atom
ρ	3.65	g cm⁻³
DOS at the Fermi energy	0.000	states/eV/f.u.
V	107.5	Å³ per cell


Entry 2:
A plane-wave DFT calculation with PBE-GGA was carried out for an optimized crystal structure of Ba3SiCl3.

Lattice parameters (Å, degrees): 8.8012 8.8012 8.4817 95.16 95.16 119.36
With the nearest neighbours (Å) after each atom.
Fractional positions:
Ba 0.1380 0.4509 0.7691  3 Cl 3.02-3.16, 1 Si 3.15
Ba 0.1776 0.1776 0.2964  4 Cl 3.16-3.35, 2 Si 3.19-3.38
Ba 0.4509 0.1380 0.7691  3 Cl 3.02-3.16, 1 Si 3.15
Ba 0.5491 0.8620 0.2309  3 Cl 3.02-3.16, 1 Si 3.15
Ba 0.8224 0.8224 0.7036  4 Cl 3.16-3.35, 2 Si 3.19-3.38
Ba 0.8620 0.5491 0.2309  3 Cl 3.02-3.16, 1 Si 3.15
Si 0.4578 0.4578 0.6234  1 Si 2.35
Si 0.5422 0.5422 0.3766  1 Si 2.35
Cl 0.1441 0.8559 0.5000  4 Ba 3.16-3.35
Cl 0.1674 0.1674 0.9218  4 Ba 3.02-3.29
Cl 0.2169 0.7831 0.0000  2 Ba 3.10
Cl 0.7831 0.2169 0.0000  2 Ba 3.10
Cl 0.8326 0.8326 0.0782  4 Ba 3.02-3.29
Cl 0.8559 0.1441 0.5000  4 Ba 3.16-3.35

Summary:
space group	No. 12
energy relative to the elements, uncorrected	-1561	meV/atom
ρ	3.22	g cm⁻³
DOS at the Fermi energy	2.737	states/eV/f.u.
V	563.4	Å³ per cell


Entry 3:
A plane-wave DFT calculation with PBE-GGA was carried out for an optimized crystal structure of BaSi3Cl.

Lattice parameters (Å, degrees): 5.9528 5.9528 5.9528 90.00 90.00 90.00
With the nearest neighbours (Å) after each atom.
Fractional positions:
Ba 0.0000 0.0000 0.0000  6 Si 2.98
Si 0.0000 0.0000 0.5000  2 Ba 2.98
Si 0.0000 0.5000 0.0000  2 Ba 2.98
Si 0.5000 0.0000 0.0000  2 Ba 2.98
Cl 0.5000 0.5000 0.5000  12 Si 4.21

Summary:
E above lowest polymorph	1.130	eV per atom
space group	No. 221
energy relative to the elements, uncorrected	1698	meV/atom
ρ	2.02	g cm⁻³
DOS at the Fermi energy	9.052	states/eV/f.u.
V	210.9	Å³ per cell


Look up the ρ of the first one. 3.65 g cm⁻³


What is the DOS at the Fermi energy in the first record? 0.000 states/eV/f.u.


What is the V in the third record? 210.9 Å³ per cell